Density functional theory data (PBEsol) for a relaxed Mg2SeO crystal.

Results
Energy relative to the elements, uncorrected, kJ/mol of formula units: -707

Lattice parameters (Å, degrees): 5.589 5.936 5.589 61.92 90.00 118.08
Fractional coordinates of all 8 atoms:
Mg (0.537, 0.750, 0.375)
Mg (0.213, 0.750, 0.875)
Mg (0.875, 0.250, 0.537)
Mg (0.375, 0.250, 0.213)
O (0.250, 0.500, 0.250)
O (0.500, 0.000, 0.500)
Se (0.750, 0.500, 0.750)
Se (0.000, 0.000, 0.000)

=====

Density functional theory data (PBEsol) for a relaxed LiVOF3 crystal.

Results
Energy relative to the elements, uncorrected, kJ/mol of formula units: -1636
E above lowest polymorph, eV per atom: 0.0000

Lattice parameters (Å, degrees): 5.214 5.262 5.711 117.41 90.00 90.00
Fractional coordinates of all 12 atoms:
Li (0.733, 0.766, 0.537)
Li (0.233, 0.234, 0.463)
V (0.976, 0.281, 0.999)
V (0.476, 0.719, 0.001)
O (0.213, 0.526, 0.019)
O (0.713, 0.474, 0.981)
F (0.521, 0.941, 0.369)
F (0.249, 0.047, 0.059)
F (0.940, 0.422, 0.368)
F (0.440, 0.578, 0.632)
F (0.749, 0.953, 0.941)
F (0.021, 0.059, 0.631)

=====

Density functional theory data (PBEsol) for a relaxed SrY2TaPd crystal.

Results
Formation enthalpy at 0 K, eV/atom: 0.692

Lattice parameters (Å, degrees): 5.301 5.301 5.530 90.00 90.00 90.00
Fractional coordinates of all 5 atoms:
Y (0.000, 0.500, 0.000)
Y (0.500, 0.000, 0.000)
Sr (0.000, 0.000, 0.500)
Pd (0.000, 0.000, 0.000)
Ta (0.500, 0.500, 0.500)

=====

Per-record final energy, eV per cell: -39.7, -79.2, -30.5
Per-record Fermi-level density of states, states/eV/cell: 0.0, 7.5, 5.3